! TiBrF GGA-PBE optimized geometry; values from VASP
! - Theoretical density: 4.029 g/cm³
! - Crystal system: triclinic
! - Energy above the lowest structure with this stoichiometry: 0 meV/atom
! - E_form (uncorrected): -1872 meV/atom
&SYSTEM
  ibrav = 0, nat = 6, ntyp = 3
/
ATOMIC_SPECIES
F 19.00 F.upf
Ti 47.87 Ti.upf
Br 79.90 Br.upf
CELL_PARAMETERS angstrom
3.305 0.433 0.427
0.465 6.915 -1.461
-1.321 -5.092 6.261
ATOMIC_POSITIONS angstrom
F 1.604 -0.503 1.312
F 0.845 2.759 3.916
Ti 0.000 0.000 0.000
Ti 1.225 1.128 2.614
Br 2.862 2.830 1.430
Br -0.413 -0.574 3.798